! BaThAsP | Alexandria via LeMat-Bulk | PBE | relaxed; values from VASP
! ΔE_f: -1.25 eV/atom
! spin magnetization: 0.00 μB/cell
! symmetry: R3m (160)
&SYSTEM
  ibrav = 0, nat = 4, ntyp = 4
/
ATOMIC_SPECIES
Th 232.04 Th.upf
As 74.92 As.upf
P 30.97 P.upf
Ba 137.33 Ba.upf
CELL_PARAMETERS angstrom
4.344 0.000 0.000
-2.171 3.762 0.000
-2.171 -1.254 7.663
ATOMIC_POSITIONS crystal
Th 0.310 0.553 0.878
As 0.496 0.146 0.657
P 0.110 0.953 0.078
Ba 0.962 0.379 0.357